## CdCu2Os (PBEsol)

Data for an optimized crystal structure of CdCu2Os.

Properties
Total magnetization   0.00 μB/f.u.
Total energy   -5.14 eV/atom
Energy of formation from the pure elements   1.527 eV per formula unit

```
CdCu2Os
1.0
2.644 0.000 0.049
0.000 3.796 0.000
-0.103 0.000 5.583
Cu Os Cd
2 1 1
Cartesian
2.620 0.000 1.303
-0.079 0.000 4.329
1.322 1.898 0.025
1.271 1.898 2.816
```